Computed, not measured: a crystal of MnSbRu2 relaxed with PBEsol at the SCAN level of DFT.

Unit cell a=3.828 b=3.828 c=4.778 alpha=113.62 beta=113.62 gamma=90.00
Element x y z (fractional)
Ru: 0.750 0.250 0.500
Mn: 0.250 0.750 0.500
Ru: 0.000 0.000 0.000
Sb: 0.500 0.500 0.000

Properties
VASP energy = -31.32 eV/atom
magnetic moment = 2.81 μB/cell
calculated volume = 57.7 Å³/cell
raw formation energy = -0.026 eV per atom



Computed, not measured: a crystal of Y2Ru relaxed with PBEsol at the SCAN level of DFT.

Unit cell a=3.466 b=5.122 c=7.946 alpha=90.00 beta=102.60 gamma=90.00
Element x y z (fractional)
Y: 0.430 0.250 0.860
Y: 0.290 0.750 0.580
Y: 0.570 0.750 0.140
Ru: 0.074 0.250 0.148
Y: 0.710 0.250 0.420
Ru: 0.926 0.750 0.852

Properties
VASP energy = -30.48 eV/atom
magnetic moment = 0.00 μB/cell
calculated volume = 137.7 Å³/cell
energy of formation = -29 kJ per mole of atoms



Computed, not measured: a crystal of YTl2Si relaxed with PBEsol at the SCAN level of DFT.

Unit cell a=3.436 b=3.436 c=9.699 alpha=79.80 beta=79.80 gamma=60.00
Element x y z (fractional)
Si: 0.000 0.000 0.000
Y: 0.500 0.500 0.500
Tl: 0.743 0.743 0.772
Tl: 0.257 0.257 0.228

Properties
VASP energy = -45.46 eV/atom
magnetic moment = 0.00 μB/cell
calculated volume = 97.1 Å³/cell
raw formation energy = 0.187 eV per atom



Computed, not measured: a crystal of Zr3BeHg relaxed with PBEsol at the SCAN level of DFT.

Unit cell a=4.660 b=4.660 c=4.660 alpha=90.00 beta=90.00 gamma=90.00
Element x y z (fractional)
Hg: 0.500 0.500 0.500
Zr: 0.000 0.000 0.500
Zr: 0.500 0.000 0.000
Be: 0.000 0.000 0.000
Zr: 0.000 0.500 0.000

Properties
VASP energy = -32.88 eV/atom
magnetic moment = 0.00 μB/cell
calculated volume = 101.2 Å³/cell
energy of formation = 4 kJ per mole of atoms



Computed, not measured: a crystal of Li2PPt relaxed with PBEsol at the SCAN level of DFT.

Unit cell a=2.633 b=2.633 c=7.735 alpha=90.00 beta=90.00 gamma=89.99
Element x y z (fractional)
P: 0.500 0.500 0.500
Li: 0.000 0.000 0.749
Li: 0.000 0.000 0.251
Pt: 0.500 0.500 0.000

Properties
VASP energy = -21.85 eV/atom
magnetic moment = 0.00 μB/cell
calculated volume = 53.6 Å³/cell
energy of formation = -49 kJ per mole of atoms



Computed, not measured: a crystal of NbP2AuS relaxed with PBEsol at the SCAN level of DFT.

Unit cell a=4.602 b=4.817 c=4.817 alpha=90.00 beta=90.00 gamma=90.00
Element x y z (fractional)
Au: 0.500 0.500 0.500
P: 0.000 0.500 0.000
P: 0.000 0.000 0.500
Nb: 0.000 0.000 0.000
S: 0.500 0.000 0.000

Properties
VASP energy = -26.03 eV/atom
magnetic moment = 0.00 μB/cell
calculated volume = 106.8 Å³/cell
raw formation energy = 0.510 eV per atom



Computed, not measured: a crystal of As2IrPt relaxed with PBEsol at the SCAN level of DFT.

Unit cell a=2.969 b=2.969 c=7.786 alpha=90.00 beta=90.00 gamma=90.00
Element x y z (fractional)
Ir: 0.000 0.000 0.492
As: 0.500 0.500 0.311
As: 0.000 0.000 0.943
Pt: 0.500 0.500 0.755

Properties
VASP energy = -45.48 eV/atom
magnetic moment = 0.00 μB/cell
calculated volume = 68.6 Å³/cell
energy of formation = -6 kJ per mole of atoms



Computed, not measured: a crystal of KTl2Rh relaxed with PBEsol at the SCAN level of DFT.

Unit cell a=3.428 b=3.428 c=10.063 alpha=80.19 beta=80.19 gamma=60.00
Element x y z (fractional)
K: 0.512 0.512 0.465
Tl: 0.987 0.987 0.038
Tl: 0.742 0.742 0.775
Rh: 0.259 0.259 0.222

Properties
VASP energy = -46.37 eV/atom
magnetic moment = 0.00 μB/cell
calculated volume = 100.4 Å³/cell
energy of formation = 32 kJ per mole of atoms



Question: The highest calculated volume belongs to which entry?
Answer: Y2Ru